Compound: TlHS3
Source: Alexandria
Functional: PBE
Structure: relaxed

Structure (POSCAR):
```
TlHS3
1.0
4.357 0.000 0.000
0.000 4.357 0.000
0.000 0.000 4.357
H S Tl
1 3 1
Cartesian
0.000 0.000 0.000
0.000 0.000 2.178
2.178 0.000 0.000
0.000 2.178 0.000
2.178 2.178 2.178
```

Values from the calculation:
* E: -2.75 eV/atom
* total moment: 0.0 μB per cell
* theoretical density: 6.06 g/cm3



Compound: Tl3H2S
Source: Alexandria
Functional: PBE
Structure: relaxed

Structure (POSCAR):
```
Tl3H2S
1.0
-10.931 2.987 4.248
-12.055 -0.988 0.375
-5.887 -2.421 4.194
H Tl S
4 6 2
Cartesian
-10.667 0.346 3.082
-15.170 0.769 3.955
-13.703 -1.191 4.861
-18.206 -0.768 5.735
-7.079 -0.700 3.479
-24.546 -0.255 8.095
-15.908 -0.813 5.460
-4.327 -0.166 0.722
-12.966 0.391 3.357
-21.794 0.278 5.338
-16.470 -2.802 3.522
-12.403 2.380 5.295
```

Values from the calculation:
* E: -2.86 eV/atom
* total moment: 0.0 μB per cell
* theoretical density: 7.70 g/cm3



Compound: Tl2H2S3
Source: Alexandria
Functional: PBE
Structure: relaxed

Structure (POSCAR):
```
Tl2H2S3
1.0
4.563 0.000 0.000
0.000 6.431 -0.516
-2.281 -2.136 5.819
Tl S H
2 3 2
Cartesian
2.281 5.212 0.956
0.000 -0.918 4.347
0.000 0.000 0.000
0.000 2.436 2.509
2.281 1.859 2.794
2.281 2.722 3.912
0.000 1.573 1.390
```

Values from the calculation:
* E: -3.49 eV/atom
* total moment: 0.0 μB per cell
* theoretical density: 5.08 g/cm3



Compound: TlH2S
Source: Alexandria
Functional: PBE
Structure: relaxed

Structure (POSCAR):
```
TlH2S
1.0
-1.132 3.457 -4.096
3.539 -2.661 -3.224
-1.639 -1.942 -4.849
S H Tl
2 4 2
Cartesian
1.552 -2.103 -5.867
1.204 0.398 -3.660
0.559 -1.824 -7.188
-0.392 0.478 -3.151
-0.008 -0.095 -9.236
1.378 -0.853 -4.763
-0.784 0.956 -6.302
0.000 0.000 0.000
```

Values from the calculation:
* E: -3.05 eV/atom
* total moment: 0.0 μB per cell
* theoretical density: 6.82 g/cm3